Density functional theory data (PBE+U) for crystalline NiMoPO2 at its relaxed geometry.

The structure belongs to space group P4/mmm (No. 123); the cell edges are 3.7288, 3.7288 and 4.6214 Å and the angles 90.00°, 90.00° and 90.00°. Symmetry generates all atoms from Ni at (0.0000, 0.0000, 0.0000), Mo at (0.5000, 0.5000, 0.5000), P at (0.0000, 0.0000, 0.5000) and O at (0.0000, 0.5000, 0.0000).

For the calculated total energy, the calculation gives -24.08 eV per cell. Its density of states at the Fermi level is 1.959 states/eV/cell. As for the magnetic moment: 2.8 μB/cell. For the distance to the lowest polymorph of the same formula, the calculation gives 0.5658 eV/atom.